(1)
The following is a PBE-GGA calculation of a relaxed PdN2Cl2 crystal, from the Alexandria database.

a b c (Å): 3.7379 3.7472 10.3335
angles (deg): 87.62 90.00 119.92
Last column: nearest neighbours and their distance in Å.
Atoms (fractional coordinates):
Pd 0.0000 0.0000 0.0000  6 Cl 2.55
N 0.9633 0.9265 0.4524  1 N 1.11
N 0.0367 0.0735 0.5476  1 N 1.11
Cl 0.6568 0.3137 0.1308  3 Pd 2.55
Cl 0.3432 0.6863 0.8692  3 Pd 2.55

Values from the calculation:
Energy relative to the lowest polymorph listed for this composition: 0 kJ/mol of formula units
Formation energy without anion corrections: -0.182 eV/atom
ρ: 2.7 g/cm3
Raw total energy: -5.2898 eV/atom


(2)
The following is a PBE-GGA calculation of a relaxed La6ErGa2 crystal, from the Alexandria database.

a b c (Å): 3.8121 6.8137 11.8713
angles (deg): 75.15 80.76 73.76
Last column: nearest neighbours and their distance in Å.
Atoms (fractional coordinates):
La 0.6822 0.5126 0.1230  2 Ga 3.23, 3 La 3.37-3.49
La 0.3178 0.4874 0.8770  2 Ga 3.23, 3 La 3.37-3.49
La 0.3048 0.7875 0.6029  4 La 3.36-3.77, 2 Ga 3.37
La 0.9661 0.7413 0.3265  2 Ga 3.22, 1 La 3.36
La 0.0339 0.2587 0.6735  2 Ga 3.22, 1 La 3.36
La 0.6952 0.2125 0.3971  4 La 3.36-3.77, 2 Ga 3.37
Er 0.0000 0.0000 0.0000  4 Ga 3.04
Ga 0.3577 0.1037 0.1810  2 Er 3.04, 6 La 3.22-3.37
Ga 0.6423 0.8963 0.8190  2 Er 3.04, 6 La 3.22-3.37

Values from the calculation:
ρ: 6.6 g/cm3
Raw total energy: -4.7140 eV/atom
E_form: -249 meV per atom


(3)
The following is a PBE-GGA calculation of a relaxed Tm6Ge2P3Se crystal, from the Alexandria database.

a b c (Å): 3.9308 8.1543 9.0011
angles (deg): 103.67 102.61 90.00
Last column: nearest neighbours and their distance in Å.
Atoms (fractional coordinates):
Tm 0.3299 0.9224 0.6599  3 P 2.77-2.83, 2 Ge 2.88, 1 Se 2.90
Tm 0.6642 0.5922 0.3285  3 P 2.79-2.80, 3 Ge 2.88-2.89
Tm 0.6701 0.0776 0.3401  3 P 2.77-2.83, 2 Ge 2.88, 1 Se 2.90
Tm 0.9993 0.2612 0.9986  3 P 2.76-2.78, 1 Ge 2.86, 2 Se 2.90
Tm 0.0007 0.7388 0.0014  3 P 2.76-2.78, 1 Ge 2.86, 2 Se 2.90
Tm 0.3358 0.4078 0.6715  3 P 2.79-2.80, 3 Ge 2.88-2.89
Ge 0.8332 0.6667 0.6664  6 Tm 2.86-2.89
Ge 0.1668 0.3333 0.3336  6 Tm 2.86-2.89
P 0.5000 0.5000 0.0000  6 Tm 2.76-2.80
P 0.8361 0.1650 0.6722  6 Tm 2.77-2.83
P 0.1639 0.8350 0.3278  6 Tm 2.77-2.83
Se 0.5000 0.0000 0.0000  6 Tm 2.90

Values from the calculation:
Formation energy without anion corrections: -1.359 eV/atom
ρ: 8.1 g/cm3
Raw total energy: -6.0067 eV/atom


> The lowest raw total energy belongs to which entry?

Tm6Ge2P3Se


> Which value of raw total energy does entry 1 give?

-5.2898 eV/atom